DFT (PBE) results for AlTlCd2 after structural relaxation.

Cell: 5.2508 5.2508 6.1197 Å, 98.34 98.34 34.86°
Positions (direct):
Al 0.0000 0.0000 0.0000
Tl 0.7562 0.7562 0.2644
Cd 0.2600 0.2600 0.7824
Cd 0.5139 0.5139 0.5494

* space group: Cm, No. 8
* E: -1.824 eV per atom
* total magnetic moment: 0.00 μB per formula unit